Compound: UMnReSi2
Source: the Alexandria database
Functional: PBE
Structure: relaxed

Unit cell a=3.9863 b=3.9863 c=10.2878 alpha=90.00 beta=90.00 gamma=90.00
Space group I-4m2 (No. 119)
Inequivalent atoms, fractional coordinates:
U  0.0000  0.0000  0.0000 x2
Mn  0.0000  0.5000  0.7500 x2
Re  0.0000  0.5000  0.2500 x2
Si  0.0000  0.0000  0.3847 x4

Values from the calculation:
Uncorrected energy in eV/cell: -90.868
Size of the total moment in μB/cell: 8.93
DOS(E_F) in states/eV/atom: 1.38

---

Compound: PmMg2Cd3
Source: the Alexandria database
Functional: PBE
Structure: relaxed

Unit cell a=10.8587 b=8.8178 c=6.2246 alpha=90.00 beta=90.00 gamma=90.00
Space group Cmcm (No. 63)
Inequivalent atoms, fractional coordinates:
Pm  0.0000  0.1408  0.2500 x4
Mg  0.2256  0.5000  0.0000 x8
Cd  0.0000  0.4954  0.7500 x4
Cd  0.1400  0.2134  0.7500 x8

Values from the calculation:
Energy above the most stable polymorph in this dataset in eV/atom: 0.080
Size of the total moment in μB/cell: 0.00
ΔH_f (0 K) in eV per atom: -0.1452
DOS(E_F) in states/eV/atom: 0.56

---

Compound: ZnRhBr2
Source: the Alexandria database
Functional: PBE
Structure: relaxed

Unit cell a=3.3562 b=3.8505 c=14.9629 alpha=90.00 beta=90.00 gamma=90.00
Space group Imm2 (No. 44)
Inequivalent atoms, fractional coordinates:
Zn  0.0000  0.0000  0.0000 x2
Rh  0.0000  0.5000  0.3672 x2
Br  0.0000  0.0000  0.5826 x2
Br  0.0000  0.5000  0.8319 x2

Values from the calculation:
Energy above the most stable polymorph in this dataset in eV/atom: 0.182
Size of the total moment in μB/cell: 0.00
DOS(E_F) in states/eV/atom: 0.49

---

Compound: Ba2Zn2Au
Source: the Alexandria database
Functional: PBE
Structure: relaxed

Unit cell a=6.4762 b=6.4762 c=7.6748 alpha=90.00 beta=90.00 gamma=90.00
Space group I4/mmm (No. 139)
Inequivalent atoms, fractional coordinates:
Ba  0.0000  0.5000  0.2500 x4
Zn  0.0000  0.0000  0.1558 x4
Au  0.0000  0.0000  0.5000 x2

Values from the calculation:
Energy above the most stable polymorph in this dataset in eV/atom: 0.189
Size of the total moment in μB/cell: 0.00
ΔH_f (0 K) in eV per atom: -0.2011
DOS(E_F) in states/eV/atom: 1.70

---

Compound: MnSiAu3
Source: the Alexandria database
Functional: PBE
Structure: relaxed

Unit cell a=4.8939 b=4.8939 c=4.8939 alpha=90.00 beta=90.00 gamma=90.00
Space group Pm-3m (No. 221)
Inequivalent atoms, fractional coordinates:
Mn  0.0000  0.0000  0.0000 x1
Si  0.5000  0.5000  0.5000 x1
Au  0.0000  0.0000  0.5000 x3

Values from the calculation:
Energy above the most stable polymorph in this dataset in eV/atom: 0.528
Size of the total moment in μB/cell: 4.43
DOS(E_F) in states/eV/atom: 0.61

---

Compound: Sr2HgP
Source: the Alexandria database
Functional: PBE
Structure: relaxed

Unit cell a=7.7357 b=7.7357 c=7.7357 alpha=90.00 beta=90.00 gamma=90.00
Space group F-43m (No. 216)
Inequivalent atoms, fractional coordinates:
Sr  0.0000  0.0000  0.0000 x4
Sr  0.2500  0.2500  0.2500 x4
Hg  0.0000  0.0000  0.5000 x4
P  0.2500  0.2500  0.7500 x4

Values from the calculation:
Energy above the most stable polymorph in this dataset in eV/atom: 0.662
Size of the total moment in μB/cell: 0.00
ΔH_f (0 K) in eV per atom: -0.1559
DOS(E_F) in states/eV/atom: 0.39